Material: BaEuDyWO6
Method: DFT, PBE with a Hubbard U
State: optimized geometry

a = 5.9323 Å, b = 5.9572 Å, c = 8.4533 Å
α = 89.66°, β = 89.96°, γ = 89.78°
Fractional positions:
Ba1 0.0032 0.0186 0.2510
Ba2 0.9968 0.9814 0.7490
Eu1 0.4984 0.5331 0.2475
Eu2 0.5016 0.4669 0.7525
Dy1 0.0000 0.5000 0.0000
Dy2 0.5000 0.0000 0.5000
W1 0.0000 0.5000 0.5000
W2 0.5000 0.0000 0.0000
O1 0.0774 0.4905 0.7382
O2 0.2145 0.7622 0.4746
O3 0.2381 0.7953 0.0219
O4 0.2631 0.2999 0.4578
O5 0.3036 0.2781 0.0451
O6 0.4506 0.0420 0.7623
O7 0.5494 0.9580 0.2377
O8 0.6964 0.7219 0.9549
O9 0.7369 0.7001 0.5422
O10 0.7619 0.2047 0.9781
O11 0.7855 0.2378 0.5254
O12 0.9226 0.5095 0.2618

Computed properties:
DOS at the Fermi energy = 1.56 states/eV per atom
total magnetization = 16.000 μB per cell
space-group type = P-1 (2)
calculated total energy = -8.22 eV per atom